1.
The following is a DFT calculation (PBE) of a relaxed Sc2SiHg crystal.

**ΔE_f (raw)**: -0.3765 eV per atom
**DOS(E_F)**: 0.905 states/eV/atom
**SG**: R-3m (166)
**Total DFT energy (no corrections)**: -19.9 eV per cell

Lattice parameters (Å, degrees): 8.4332 8.4332 8.4332 23.82 23.82 23.82
Atoms (fractional coordinates):
1 Sc 0.2410 0.2410 0.2410
2 Sc 0.7590 0.7590 0.7590
3 Si 0.5000 0.5000 0.5000
4 Hg 0.0000 0.0000 0.0000

=====

2.
The following is a DFT calculation (PBE) of a relaxed Sc2SiHg2 crystal.

**ΔE_f (raw)**: -0.1813 eV per atom
**DOS(E_F)**: 0.627 states/eV/atom
**SG**: P4/mbm (127)
**E above lowest polymorph**: 13.2 meV per atom
**Total DFT energy (no corrections)**: -39.2 eV per cell

Lattice parameters (Å, degrees): 7.1207 7.1207 4.4558 90.00 90.00 90.00
Atoms (fractional coordinates):
1 Sc 0.1598 0.3402 0.0000
2 Sc 0.3402 0.8402 0.0000
3 Sc 0.6598 0.1598 0.0000
4 Sc 0.8402 0.6598 0.0000
5 Si 0.0000 0.0000 0.0000
6 Si 0.5000 0.5000 0.0000
7 Hg 0.1495 0.6495 0.5000
8 Hg 0.3505 0.1495 0.5000
9 Hg 0.6495 0.8505 0.5000
10 Hg 0.8505 0.3505 0.5000

=====

3.
The following is a DFT calculation (PBE) of a relaxed Sc2SiHg crystal.

**ΔE_f (raw)**: -0.4607 eV per atom
**DOS(E_F)**: 0.999 states/eV/atom
**SG**: P4/mmm (123)
**Total DFT energy (no corrections)**: -20.2 eV per cell

Lattice parameters (Å, degrees): 3.1532 3.1532 7.8950 90.00 90.00 90.00
Atoms (fractional coordinates):
1 Sc 0.0000 0.0000 0.2244
2 Sc 0.0000 0.0000 0.7756
3 Si 0.5000 0.5000 0.0000
4 Hg 0.5000 0.5000 0.5000

=====

4.
The following is a DFT calculation (PBE) of a relaxed ScSi2Hg2 crystal.

**ΔE_f (raw)**: 0.0922 eV per atom
**DOS(E_F)**: 0.678 states/eV/atom
**SG**: I4/mmm (139)
**E above lowest polymorph**: 26.1 meV per atom
**Total DFT energy (no corrections)**: -17.3 eV per cell

Lattice parameters (Å, degrees): 9.0392 9.0392 9.0392 157.94 157.94 31.40
Atoms (fractional coordinates):
1 Sc 0.0000 0.0000 0.0000
2 Si 0.2500 0.7500 0.5000
3 Si 0.7500 0.2500 0.5000
4 Hg 0.3936 0.3936 0.0000
5 Hg 0.6064 0.6064 0.0000

=====

5.
The following is a DFT calculation (PBE) of a relaxed Sc2SiHg crystal.

**ΔE_f (raw)**: 0.1319 eV per atom
**DOS(E_F)**: 1.318 states/eV/atom
**SG**: F-43m (216)
**Total DFT energy (no corrections)**: -17.9 eV per cell

Lattice parameters (Å, degrees): 4.8727 4.8727 4.8727 60.00 60.00 60.00
Atoms (fractional coordinates):
1 Sc 0.0000 0.0000 0.0000
2 Sc 0.2500 0.2500 0.2500
3 Si 0.5000 0.5000 0.5000
4 Hg 0.7500 0.7500 0.7500

=====

6.
The following is a DFT calculation (PBE) of a relaxed Sc2SiHg crystal.

**ΔE_f (raw)**: -0.3950 eV per atom
**DOS(E_F)**: 0.822 states/eV/atom
**SG**: Imm2 (44)
**Total DFT energy (no corrections)**: -20.0 eV per cell

Lattice parameters (Å, degrees): 5.7351 5.7351 5.7351 142.31 135.31 59.85
Atoms (fractional coordinates):
1 Sc 0.0000 0.0000 0.0000
2 Sc 0.7368 0.2368 0.5000
3 Si 0.2596 0.7596 0.5000
4 Hg 0.4739 0.4739 0.0000

=====

7.
The following is a DFT calculation (PBE) of a relaxed Sc2SiHg crystal.

**ΔE_f (raw)**: -0.0886 eV per atom
**DOS(E_F)**: 0.778 states/eV/atom
**SG**: P4mm (99)
**Total DFT energy (no corrections)**: -18.7 eV per cell

Lattice parameters (Å, degrees): 3.2503 3.2503 8.0036 90.00 90.00 90.00
Atoms (fractional coordinates):
1 Sc 0.0000 0.0000 0.0000
2 Sc 0.5000 0.5000 0.2930
3 Si 0.0000 0.0000 0.5048
4 Hg 0.5000 0.5000 0.7468

=====

8.
The following is a DFT calculation (PBE) of a relaxed Sc2SiHg crystal.

**ΔE_f (raw)**: -0.1155 eV per atom
**DOS(E_F)**: 1.363 states/eV/atom
**SG**: R-3m (166)
**Total DFT energy (no corrections)**: -18.8 eV per cell

Lattice parameters (Å, degrees): 9.0727 9.0727 9.0727 24.34 24.34 24.34
Atoms (fractional coordinates):
1 Sc 0.1135 0.1135 0.1135
2 Sc 0.8865 0.8865 0.8865
3 Si 0.5000 0.5000 0.5000
4 Hg 0.0000 0.0000 0.0000

=====

9.
The following is a DFT calculation (PBE) of a relaxed ScSi2Hg2 crystal.

**ΔE_f (raw)**: 0.0662 eV per atom
**DOS(E_F)**: 0.541 states/eV/atom
**SG**: P4/mbm (127)
**E above lowest polymorph**: 0.0 meV per atom
**Total DFT energy (no corrections)**: -34.9 eV per cell

Lattice parameters (Å, degrees): 7.0221 7.0221 4.1403 90.00 90.00 90.00
Atoms (fractional coordinates):
1 Sc 0.0000 0.0000 0.0000
2 Sc 0.5000 0.5000 0.0000
3 Si 0.1190 0.3810 0.0000
4 Si 0.3810 0.8810 0.0000
5 Si 0.6190 0.1190 0.0000
6 Si 0.8810 0.6190 0.0000
7 Hg 0.1881 0.6881 0.5000
8 Hg 0.3119 0.1881 0.5000
9 Hg 0.6881 0.8119 0.5000
10 Hg 0.8119 0.3119 0.5000

=====

10.
The following is a DFT calculation (PBE) of a relaxed Sc2SiHg crystal.

**ΔE_f (raw)**: -0.4389 eV per atom
**DOS(E_F)**: 0.838 states/eV/atom
**SG**: P4/mmm (123)
**Total DFT energy (no corrections)**: -20.1 eV per cell

Lattice parameters (Å, degrees): 4.6536 4.6536 3.6779 90.00 90.00 90.00
Atoms (fractional coordinates):
1 Sc 0.0000 0.5000 0.0000
2 Sc 0.5000 0.0000 0.0000
3 Si 0.0000 0.0000 0.5000
4 Hg 0.5000 0.5000 0.5000

=====

11.
The following is a DFT calculation (PBE) of a relaxed Sc2SiHg crystal.

**ΔE_f (raw)**: 0.0428 eV per atom
**DOS(E_F)**: 0.864 states/eV/atom
**SG**: R3m (160)
**Total DFT energy (no corrections)**: -18.2 eV per cell

Lattice parameters (Å, degrees): 9.4333 9.4333 9.4333 20.20 20.20 20.20
Atoms (fractional coordinates):
1 Sc 0.0000 0.0000 0.0000
2 Sc 0.2395 0.2395 0.2395
3 Si 0.7424 0.7424 0.7424
4 Hg 0.4871 0.4871 0.4871

=====

12.
The following is a DFT calculation (PBE) of a relaxed ScSi3Hg crystal.

**ΔE_f (raw)**: 1.0668 eV per atom
**DOS(E_F)**: 0.653 states/eV/atom
**SG**: Pm-3m (221)
**E above lowest polymorph**: 190.0 meV per atom
**Total DFT energy (no corrections)**: -17.6 eV per cell

Lattice parameters (Å, degrees): 4.9929 4.9929 4.9929 90.00 90.00 90.00
Atoms (fractional coordinates):
1 Sc 0.0000 0.0000 0.0000
2 Si 0.0000 0.5000 0.5000
3 Si 0.5000 0.0000 0.5000
4 Si 0.5000 0.5000 0.0000
5 Hg 0.5000 0.5000 0.5000